## SrPuCo2O8 (PBE with a Hubbard U)

Data for an optimized crystal structure of SrPuCo2O8.

```
SrPuCo2O8
1.0
-3.548 3.548 3.309
3.548 -3.548 3.309
3.548 3.548 -3.309
Sr Pu Co O
1 1 2 8
Direct
0.000 0.000 0.000 Sr
0.250 0.750 0.500 Pu
0.500 0.500 0.000 Co
0.750 0.250 0.500 Co
0.317 0.097 0.780 O
0.317 0.537 0.220 O
0.401 0.068 0.333 O
0.463 0.683 0.780 O
0.734 0.068 0.667 O
0.903 0.683 0.220 O
0.932 0.266 0.333 O
0.932 0.599 0.667 O
```

Summary:
volume: 13.886 A^3/atom
space group: I-4m2, No. 119
energy: -84.37 eV/cell
total moment: 4.00 μB/cell